No. 1
Ca2Pt17: relaxed, PBE.

Results
The calculation puts the density of states at the Fermi level at 21.2 states/eV/f.u. Its theoretical density is 16923 kg/m3. For the formation energy, the calculation gives -0.277 eV per atom.

a = 6.979 Å, b = 6.979 Å, c = 6.979 Å
α = 83.20°, β = 83.20°, γ = 83.20°
Positions (direct):
Pt  0.348  0.841  0.348
Pt  0.000  0.694  0.306
Pt  0.000  0.000  0.500
Pt  0.896  0.896  0.896
Pt  0.000  0.306  0.694
Pt  0.104  0.104  0.104
Pt  0.841  0.348  0.348
Pt  0.159  0.652  0.652
Pt  0.694  0.000  0.306
Pt  0.652  0.159  0.652
Pt  0.694  0.306  0.000
Pt  0.652  0.652  0.159
Pt  0.348  0.348  0.841
Pt  0.306  0.000  0.694
Pt  0.500  0.000  0.000
Pt  0.000  0.500  0.000
Pt  0.306  0.694  0.000
Ca  0.661  0.661  0.661
Ca  0.339  0.339  0.339

No. 2
TcAs2Pt: relaxed, PBE.

Results
The calculation puts the density of states at the Fermi level at 2.4 states/eV/f.u. Its theoretical density is 11757 kg/m3. For the formation energy, the calculation gives -0.015 eV per atom. For the energy above the most stable polymorph in this dataset, the calculation gives 0.36 eV per formula unit.

a = 3.200 Å, b = 3.200 Å, c = 6.110 Å
α = 90.00°, β = 90.00°, γ = 90.00°
Positions (direct):
As  0.000  0.000  0.988
As  0.000  0.000  0.512
Pt  0.500  0.500  0.250
Tc  0.500  0.500  0.750

No. 3
BaAgP: relaxed, PBE.

Results
The calculation puts the density of states at the Fermi level at 0.0 states/eV/f.u. Its theoretical density is 5022 kg/m3. For the formation energy, the calculation gives -0.597 eV per atom.

a = 4.652 Å, b = 9.048 Å, c = 12.967 Å
α = 138.20°, β = 111.01°, γ = 104.90°
Positions (direct):
P  0.773  0.055  0.457
P  0.108  0.642  0.498
Ag  0.290  0.385  0.309
Ag  0.225  0.569  0.652
Ba  0.019  0.621  0.920
Ba  0.550  0.387  0.068